Entry 1:
{
  "formula": "Cd2SbF",
  "functional": "GGA-PBE",
  "state": "optimized geometry",
  "relative_energy_mev_per_atom": 0,
  "dos_ef_per_ev_atom": 0.06,
  "dft_energy_ev_per_atom": -2.74,
  "total_magnetization_mub_per_fu": 0.00,
  "lattice_angstrom": [[7.5961, 0.0000, 1.4494], [0.0000, 7.3218, 0.0000], [1.9612, 0.0000, 8.0110]],
  "species": ["Cd", "Cd", "Cd", "Cd", "Cd", "Cd", "Cd", "Cd", "Sb", "Sb", "Sb", "Sb", "F", "F", "F", "F"],
  "frac_coords": [[0.5526, 0.6970, 0.1149], [0.0526, 0.8030, 0.1149], [0.8836, 0.1953, 0.3860], [0.9474, 0.1970, 0.8851], [0.1164, 0.8047, 0.6140], [0.6164, 0.6953, 0.6140], [0.4474, 0.3030, 0.8851], [0.3836, 0.3047, 0.3860], [0.7216, 0.0324, 0.7240], [0.2216, 0.4676, 0.7240], [0.2784, 0.9676, 0.2760], [0.7784, 0.5324, 0.2760], [0.3375, 0.4463, 0.1542], [0.1625, 0.9463, 0.8458], [0.8375, 0.0537, 0.1542], [0.6625, 0.5537, 0.8458]]
}

Entry 2:
{
  "formula": "Cd2SbF",
  "functional": "GGA-PBE",
  "state": "optimized geometry",
  "relative_energy_mev_per_atom": 70,
  "dos_ef_per_ev_atom": 0.04,
  "dft_energy_ev_per_atom": -2.67,
  "total_magnetization_mub_per_fu": 0.00,
  "lattice_angstrom": [[-4.2154, 1.8832, 3.2730], [-3.6429, -3.3195, -2.7819], [-2.7428, -5.7054, 4.6429]],
  "species": ["Sb", "Sb", "F", "F", "Cd", "Cd", "Cd", "Cd"],
  "frac_coords": [[0.0000, 0.0000, 0.0000], [0.7500, 0.2500, 0.5000], [0.5000, 0.5000, 0.0000], [0.2500, 0.7500, 0.5000], [0.5731, 0.1250, 0.2500], [0.1769, 0.6250, 0.2500], [0.3750, 0.4269, 0.7500], [0.8750, 0.8231, 0.7500]]
}

Entry 3:
{
  "formula": "CdSbF6",
  "functional": "GGA-PBE",
  "state": "optimized geometry",
  "dos_ef_per_ev_atom": 0.34,
  "dft_energy_ev_per_atom": -4.21,
  "total_magnetization_mub_per_fu": 0.00,
  "lattice_angstrom": [[5.2567, -0.2197, -0.0301], [-2.1596, 4.7977, -0.0301], [-0.5997, -0.8865, 5.3929]],
  "species": ["Cd", "Sb", "F", "F", "F", "F", "F", "F"],
  "frac_coords": [[0.0000, 0.0000, 0.0000], [0.5000, 0.5000, 0.5000], [0.2535, 0.2535, 0.7291], [0.4297, 0.1333, 0.2680], [0.7465, 0.7465, 0.2709], [0.8667, 0.5703, 0.7320], [0.5703, 0.8667, 0.7320], [0.1333, 0.4297, 0.2680]]
}

Entry 4:
{
  "formula": "ScCdSbF2",
  "functional": "GGA-PBE",
  "state": "optimized geometry",
  "dos_ef_per_ev_atom": 0.11,
  "dft_energy_ev_per_atom": -5.16,
  "total_magnetization_mub_per_fu": 0.00,
  "lattice_angstrom": [[4.1419, 0.0000, 0.0000], [0.0000, 4.1419, 0.0000], [0.0000, 0.0000, 6.0818]],
  "species": ["Sc", "Sb", "F", "F", "Cd"],
  "frac_coords": [[0.0000, 0.0000, 0.0000], [0.0000, 0.0000, 0.5000], [0.0000, 0.5000, 0.0000], [0.5000, 0.0000, 0.0000], [0.5000, 0.5000, 0.5000]]
}

| no. | E_form (uncorrected) (eV/atom) |
| --- | --- |
| 1 | -0.782 |
| 2 | -0.711 |
| 3 | -2.177 |
| 4 | -2.140 |